Record 1
First-principles (PBE-GGA) data for a relaxed structure of LiTe2Au2, as listed in Alexandria.

Results
Formation energy from raw total energies = -141 meV per atom
Polymorph energy (0 for the lowest one) = 35 meV/atom
Calculated density = 8.78 g/cm3

a b c (Å): 4.075 4.075 14.936
angles (deg): 90.00 90.00 90.00
Space group I4/mmm (No. 139)
One atom of each set of equivalent atoms:
Li  0.000  0.000  0.000 (multiplicity 2)
Te  0.000  0.000  0.391 (multiplicity 4)
Au  0.000  0.500  0.250 (multiplicity 4)

Record 2
First-principles (PBE-GGA) data for a relaxed structure of Li2Te5Au, as listed in Alexandria.

Results
Formation energy from raw total energies = -310 meV per atom
Calculated density = 6.52 g/cm3

a b c (Å): 6.320 11.733 6.460
angles (deg): 90.00 115.46 90.00
Space group Cm (No. 8)
One atom of each set of equivalent atoms:
Li  0.000  0.249  0.000 (multiplicity 4)
Te  0.079  0.241  0.561 (multiplicity 4)
Te  0.131  0.500  0.552 (multiplicity 2)
Te  0.430  0.000  0.032 (multiplicity 2)
Te  0.448  0.500  0.069 (multiplicity 2)
Au  0.122  0.000  0.552 (multiplicity 2)